No. 1
VASP calculation (PBE) on a geometry-optimized Mg6ZnIr5 structure.

```
Mg6ZnIr5
1.0
4.2767 0.0018 -0.9019
-0.0028 6.4408 -0.0006
-0.8089 0.0004 6.8899
Mg Ir Zn
6 5 1
direct
0.8291 0.7453 0.6567 Mg
0.8291 0.2547 0.6567 Mg
0.5000 0.2593 0.0000 Mg
0.5000 0.7407 0.0000 Mg
0.1709 0.7453 0.3433 Mg
0.1709 0.2547 0.3433 Mg
0.6624 0.5000 0.3263 Ir
0.3418 0.0000 0.6795 Ir
0.0000 0.5000 0.0000 Ir
0.6582 0.0000 0.3205 Ir
0.3376 0.5000 0.6737 Ir
0.0000 0.0000 0.0000 Zn
```

## Properties
Space group ... P2/m, No. 10
Total magnetic moment ... 0.00 μB per formula unit
Energy ... -4.894 eV per atom


No. 2
VASP calculation (PBE) on a geometry-optimized CeTh5Hg4 structure.

```
CeTh5Hg4
1.0
-2.8207 0.9468 1.8056
1.7489 -0.4604 2.9736
7.0304 22.2585 -0.6884
Ce Th Hg
1 5 4
direct
0.0000 0.0000 0.0000 Ce
0.5000 0.5000 0.1095 Th
0.5000 0.5000 0.3051 Th
0.5000 0.5000 0.5000 Th
0.5000 0.5000 0.6949 Th
0.5000 0.5000 0.8905 Th
0.0000 0.0000 0.2080 Hg
0.0000 0.0000 0.4024 Hg
0.0000 0.0000 0.5976 Hg
0.0000 0.0000 0.7920 Hg
```

## Properties
Space group ... P4/mmm, No. 123
Total magnetic moment ... 0.35 μB per formula unit
Energy ... -4.574 eV per atom


No. 3
VASP calculation (PBE) on a geometry-optimized EuGdGaAg structure.

```
EuGdGaAg
1.0
5.2534 0.0000 0.0000
2.6267 4.5496 0.0000
2.6267 1.5165 4.2894
Eu Gd Ga Ag
1 1 1 1
direct
0.7500 0.7500 0.7500 Eu
0.2500 0.2500 0.2500 Gd
0.5000 0.5000 0.5000 Ga
0.0000 0.0000 0.0000 Ag
```

## Properties
Space group ... F-43m, No. 216
Total magnetic moment ... 0.29 μB per formula unit
Energy ... -7.950 eV per atom


No. 4
VASP calculation (PBE) on a geometry-optimized Sc4Ga2NiHg structure.

```
Sc4Ga2NiHg
1.0
4.7693 0.0000 0.0000
2.3846 4.1303 0.0000
2.3846 1.3768 7.7436
Sc Ga Ni Hg
4 2 1 1
direct
0.3827 0.3827 0.8519 Sc
0.8697 0.8697 0.3909 Sc
0.1303 0.1303 0.6091 Sc
0.6173 0.6173 0.1481 Sc
0.7484 0.7484 0.7547 Ga
0.2516 0.2516 0.2453 Ga
0.5000 0.5000 0.5000 Ni
0.0000 0.0000 0.0000 Hg
```

## Properties
Space group ... R-3m, No. 166
Total magnetic moment ... 0.00 μB per formula unit
Energy ... -5.200 eV per atom


No. 5
VASP calculation (PBE) on a geometry-optimized KZr2Sc structure.

```
KZr2Sc
1.0
12.2641 -0.0008 -0.0005
11.8406 3.1952 -0.0005
11.8406 1.5691 2.7834
K Sc Zr
1 1 2
direct
0.2500 0.2500 0.2500 K
0.7500 0.7500 0.7500 Sc
0.0127 0.0127 0.0127 Zr
0.4873 0.4873 0.4873 Zr
```

## Properties
Space group ... R-3m, No. 166
Energy above the most stable polymorph in this dataset ... 79 meV/atom
Total magnetic moment ... 0.00 μB per formula unit


No. 6
VASP calculation (PBE) on a geometry-optimized BCS structure.

```
BCS
1.0
-4.4765 0.6655 0.3403
-1.9574 0.0738 -4.1506
-2.3148 -4.1061 -1.4199
S B C
2 2 2
direct
0.6558 0.6825 0.4702 S
0.2919 0.0893 0.8883 S
0.0067 0.5201 0.2040 B
0.6522 0.5082 0.8870 B
0.3027 0.6749 0.0402 C
0.9459 0.3348 0.0446 C
```

## Properties
Space group ... P1, No. 1
Energy above the most stable polymorph in this dataset ... 218 meV/atom
Total magnetic moment ... 0.00 μB per formula unit


No. 7
VASP calculation (PBE) on a geometry-optimized Ca2CrAs2 structure.

```
Ca2CrAs2
1.0
7.3085 0.0000 0.0000
0.0000 7.3085 0.0000
0.0000 0.0000 4.2549
Cr As Ca
2 4 4
direct
0.0000 0.0000 0.0000 Cr
0.5000 0.5000 0.0000 Cr
0.3396 0.8396 0.0000 As
0.8396 0.6604 0.0000 As
0.6604 0.1604 0.0000 As
0.1604 0.3396 0.0000 As
0.1525 0.6525 0.5000 Ca
0.6525 0.8475 0.5000 Ca
0.8475 0.3475 0.5000 Ca
0.3475 0.1525 0.5000 Ca
```

## Properties
Space group ... P4/mbm, No. 127
Total magnetic moment ... 3.98 μB per formula unit
Energy ... -5.207 eV per atom


No. 8
VASP calculation (PBE) on a geometry-optimized Pm8Er6Pb structure.

```
Pm8Er6Pb
1.0
-1.4135 6.3665 0.3323
-2.9391 -0.1904 -8.8531
-5.9971 -1.6939 6.9438
Pm Er Pb
8 6 1
direct
0.8223 0.0415 0.2736 Pm
0.8223 0.7264 0.7679 Pm
0.8223 0.2321 0.9585 Pm
0.1777 0.9585 0.7264 Pm
0.1777 0.2736 0.2321 Pm
0.1777 0.7679 0.0415 Pm
0.8485 0.3333 0.6667 Pm
0.1515 0.6667 0.3333 Pm
0.6650 0.6495 0.0987 Er
0.6650 0.9013 0.5509 Er
0.6650 0.4491 0.3505 Er
0.3350 0.3505 0.9013 Er
0.3350 0.0987 0.4491 Er
0.3350 0.5509 0.6495 Er
0.5000 0.0000 0.0000 Pb
```

## Properties
Space group ... P-3, No. 147
Total magnetic moment ... 0.01 μB per formula unit
Energy ... -4.533 eV per atom